1.
DFT (PBE-GGA) results for crystalline La2TbIn4 at its relaxed geometry.

Total magnetic moment   0.0 μB/f.u.
E_form   -0.339 eV per atom
Total energy   -3.973 eV per atom

Lattice parameters (Å, degrees): 5.3611 5.3611 15.1933 90.00 90.00 90.00
Space group I4/mmm (No. 139)
Asymmetric unit:
La (0.0000, 0.0000, 0.2472) [4 per cell]
Tb (0.0000, 0.0000, 0.5000) [2 per cell]
In (0.0000, 0.5000, 0.1073) [8 per cell]

***

2.
DFT (PBE-GGA) results for crystalline La3TbIn at its relaxed geometry.

Total magnetic moment   0.0 μB/f.u.
Energy relative to the lowest polymorph listed for this composition   0 meV per atom
E_form   -0.202 eV per atom
Total energy   -4.632 eV per atom

Lattice parameters (Å, degrees): 4.9625 26.3295 4.9474 90.00 90.00 90.00
Space group Cmcm (No. 63)
Asymmetric unit:
La (0.0000, 0.0539, 0.2500) [4 per cell]
La (0.0000, 0.2503, 0.2500) [4 per cell]
La (0.0000, 0.4418, 0.2500) [4 per cell]
Tb (0.0000, 0.3473, 0.7500) [4 per cell]
In (0.0000, 0.1532, 0.7500) [4 per cell]

***

3.
DFT (PBE-GGA) results for crystalline La12Tb3In at its relaxed geometry.

Total magnetic moment   0.0 μB/f.u.
E_form   -0.060 eV per atom
Total energy   -4.795 eV per atom

Lattice parameters (Å, degrees): 5.1637 5.1637 20.8386 90.00 90.00 90.00
Space group P4/mmm (No. 123)
Asymmetric unit:
La (0.0000, 0.0000, 0.0000) [1 per cell]
La (0.0000, 0.0000, 0.2491) [2 per cell]
La (0.0000, 0.0000, 0.5000) [1 per cell]
La (0.0000, 0.5000, 0.1212) [4 per cell]
La (0.0000, 0.5000, 0.3738) [4 per cell]
Tb (0.5000, 0.5000, 0.2480) [2 per cell]
Tb (0.5000, 0.5000, 0.5000) [1 per cell]
In (0.5000, 0.5000, 0.0000) [1 per cell]

***

4.
DFT (PBE-GGA) results for crystalline La8Tb2In at its relaxed geometry.

Total magnetic moment   0.0 μB/f.u.
Energy relative to the lowest polymorph listed for this composition   81 meV per atom
E_form   0.003 eV per atom
Total energy   -4.671 eV per atom

Lattice parameters (Å, degrees): 12.0521 6.9818 9.1527 90.00 92.04 90.00
Space group C2/m (No. 12)
Asymmetric unit:
La (0.0788, 0.2352, 0.1971) [8 per cell]
La (0.1670, 0.5000, 0.5374) [4 per cell]
La (0.1711, 0.5000, 0.9004) [4 per cell]
Tb (0.1662, 0.0000, 0.7808) [4 per cell]
In (0.0000, 0.0000, 0.5000) [2 per cell]